Entry from Alexandria: a geometry-optimized RbLaAs2Br structure (PBE-GGA).

Summary:
- D(E_F) (states/eV/cell) = 4.59
- E_tot (eV per atom) = -3.09
- space-group type = P4/mmm
- ΔE_f (raw) (eV per atom) = 0.2790

POSCAR file:
```
RbLaAs2Br
1.0
-0.934 -5.345 -0.527
1.854 0.181 -5.123
5.300 -1.112 1.879
As Br La Rb
2 1 1 1
direct
0.000 0.500 0.000
0.500 0.000 0.000
0.000 0.000 0.500
0.500 0.500 0.500
0.000 0.000 0.000
```